1.
The following is a PBE-GGA calculation of a geometry-optimized Sm6DyTh2 structure, from the Alexandria database.

abc: 3.6024 3.6024 26.8166
angles: 90.00 90.00 120.00
Fractional coordinates of all 9 atoms:
Sm: 0.3333 0.6667 0.7807
Sm: 0.3333 0.6667 0.4366
Sm: 0.6667 0.3333 0.1076
Sm: 0.3333 0.6667 0.2193
Sm: 0.3333 0.6667 0.5634
Sm: 0.6667 0.3333 0.8924
Th: 0.6667 0.3333 0.6707
Th: 0.6667 0.3333 0.3293
Dy: 0.3333 0.6667 0.0000

- Energy of formation: 0.0720 eV/atom

---

2.
The following is a PBE-GGA calculation of a geometry-optimized CePr6Nd2 structure, from the Alexandria database.

abc: 5.6334 7.8085 10.0410
angles: 112.88 124.11 90.00
Last column: magnetic moment on the atom in μB.
Fractional coordinates of all 9 atoms:
Pr: 0.2818 0.8570 0.2818  0.04
Pr: 0.5000 0.2716 0.0000  0.04
Pr: 0.2818 0.4247 0.2818  0.04
Pr: 0.7182 0.1430 0.7183  0.04
Pr: 0.5000 0.7284 0.0000  0.04
Pr: 0.7182 0.5753 0.7183  0.04
Nd: 0.0383 0.7691 0.5382  0.00
Nd: 0.9617 0.2309 0.4618  0.00
Ce: 0.0000 0.0000 0.0000  0.59

- Energy of formation: 0.2674 eV/atom

---

3.
The following is a PBE-GGA calculation of a geometry-optimized Y2Si5Os3 structure, from the Alexandria database.

abc: 5.6664 8.2545 8.2545
angles: 94.51 69.88 69.88
Fractional coordinates of all 20 atoms:
Si: 0.8322 0.2637 0.0723
Si: 0.1678 0.7363 0.9277
Si: 0.3322 0.0723 0.2637
Si: 0.7500 0.7913 0.2087
Si: 0.2500 0.7916 0.2084
Si: 0.2500 0.2087 0.7913
Si: 0.2500 0.4997 0.5003
Si: 0.6678 0.9277 0.7363
Si: 0.7500 0.2084 0.7916
Si: 0.7500 0.5003 0.4997
Y: 0.2675 0.8680 0.5974
Y: 0.7675 0.5974 0.8680
Y: 0.7325 0.1320 0.4026
Y: 0.2325 0.4026 0.1320
Os: 0.7500 0.0002 0.9998
Os: 0.2500 0.9998 0.0002
Os: 0.5949 0.5509 0.2578
Os: 0.9051 0.7422 0.4491
Os: 0.4051 0.4491 0.7422
Os: 0.0949 0.2578 0.5509

- Formation energy (no corrections): -0.72 eV per atom

---

4.
The following is a PBE-GGA calculation of a geometry-optimized BaGaAg2Pd structure, from the Alexandria database.

abc: 5.3062 5.3062 4.7471
angles: 90.00 90.00 90.00
Fractional coordinates of all 5 atoms:
Ba: 0.5000 0.5000 0.5000
Ga: 0.0000 0.0000 0.5000
Ag: 0.5000 0.0000 0.0000
Ag: 0.0000 0.5000 0.0000
Pd: 0.0000 0.0000 0.0000

- Energy of formation: -0.2301 eV/atom

---

5.
The following is a PBE-GGA calculation of a geometry-optimized LiCaHoPt structure, from the Alexandria database.

abc: 4.9808 4.9808 4.9808
angles: 60.00 60.00 60.00
Fractional coordinates of all 4 atoms:
Li: 0.2500 0.2500 0.2500
Ca: 0.5000 0.5000 0.5000
Ho: 0.0000 0.0000 0.0000
Pt: 0.7500 0.7500 0.7500

- Energy of formation: -0.5920 eV/atom

---

6.
The following is a PBE-GGA calculation of a geometry-optimized Sm2ErPt structure, from the Alexandria database.

abc: 3.7394 3.7394 10.8339
angles: 80.06 80.06 60.00
Fractional coordinates of all 4 atoms:
Er: 0.0000 0.0000 0.0000
Sm: 0.1084 0.1084 0.6748
Sm: 0.8916 0.8916 0.3252
Pt: 0.5000 0.5000 0.5000

- Energy of formation: -0.2362 eV/atom

---

7.
The following is a PBE-GGA calculation of a geometry-optimized NbGaBr3 structure, from the Alexandria database.

abc: 5.3988 5.3988 5.3988
angles: 90.00 90.00 90.00
Last column: magnetic moment on the atom in μB.
Fractional coordinates of all 5 atoms:
Ga: 0.5000 0.5000 0.5000  0.04
Nb: 0.0000 0.0000 0.0000  2.29
Br: 0.5000 0.0000 0.0000  0.06
Br: 0.0000 0.0000 0.5000  0.00
Br: 0.0000 0.5000 0.0000  0.02

- Formation energy (no corrections): -0.27 eV per atom

---

8.
The following is a PBE-GGA calculation of a geometry-optimized Te2PdRhPb structure, from the Alexandria database.

abc: 5.2019 5.0233 5.2019
angles: 90.00 90.00 90.00
Last column: magnetic moment on the atom in μB.
Fractional coordinates of all 5 atoms:
Pd: 0.0000 0.5000 0.0000  0.27
Rh: 0.0000 0.0000 0.0000  0.43
Pb: 0.5000 0.5000 0.5000  -0.01
Te: 0.0000 0.0000 0.5000  0.02
Te: 0.5000 0.0000 0.0000  0.04

- Formation energy (no corrections): 0.24 eV per atom